Below is a relaxed structure of AcLa5NdSm2, with properties calculated at the PBE-GGA level.

The structure belongs to space group I4/mcm (No. 140); the cell edges are 9.323, 9.323 and 15.570 Å and the angles 90.00°, 90.00° and 90.00°. The distinct sites, in fractional coordinates, are Ac at (0.000, 0.500, 0.250), La at (0.000, 0.000, 0.000), La at (0.207, 0.293, 0.131), Nd at (0.000, 0.000, 0.250) and Sm at (0.112, 0.388, 0.500).

As for the energy of formation: 252 meV per atom. The calculated volume is 1353 Å³/cell. The calculation puts the total energy at -4.52 eV/atom.

Below is a relaxed structure of ThMgHg2, with properties calculated at the PBE-GGA level.

The structure belongs to space group P4/mmm (No. 123); the cell edges are 5.043, 5.043 and 4.075 Å and the angles 90.00°, 90.00° and 90.00°. The distinct sites, in fractional coordinates, are Th at (0.000, 0.000, 0.000), Mg at (0.500, 0.500, 0.000) and Hg at (0.000, 0.500, 0.500).

As for the energy of formation: -188 meV per atom. The calculated volume is 104 Å³/cell. The calculation puts the total energy at -2.59 eV/atom.

Below is a relaxed structure of CuAu, with properties calculated at the PBE-GGA level.

The structure belongs to space group P6_3/mmc (No. 194); the cell edges are 4.0006, 4.0006 and 4.8986 Å and the angles 90.00°, 90.00° and 120.00°. The distinct sites, in fractional coordinates, are Cu at (0.0000, 0.0000, 0.0000) and Au at (0.3333, 0.6667, 0.2500).

As for the energy of formation: 177 meV per atom. The calculated volume is 68 Å³/cell. The calculation puts the total energy at -3.51 eV/atom.

Below is a relaxed structure of PmNd6In3, with properties calculated at the PBE-GGA level.

The structure belongs to space group P2_1/m (No. 11); the cell edges are 10.436, 5.297 and 11.506 Å and the angles 90.00°, 97.97° and 90.00°. The distinct sites, in fractional coordinates, are Pm at (0.048, 0.250, 0.407), Nd at (0.067, 0.750, 0.910), Nd at (0.142, 0.750, 0.222), Nd at (0.179, 0.250, 0.720), Nd at (0.276, 0.750, 0.518), Nd at (0.366, 0.250, 0.308), Nd at (0.455, 0.750, 0.096), In at (0.246, 0.250, 0.023), In at (0.356, 0.750, 0.809) and In at (0.454, 0.250, 0.608).

As for the energy of formation: -267 meV per atom. The calculated volume is 630 Å³/cell. Its polymorph energy (0 for the lowest one) is 0.00 eV/f.u. The calculation puts the total energy at -4.42 eV/atom.